1.
! BaPuTlO6 (GGA-PBE, optimized geometry); values from VASP
&SYSTEM
  ibrav = 0, nat = 18, ntyp = 4
/
ATOMIC_SPECIES
Ba 137.33 Ba.upf
Pu 244.00 Pu.upf
Tl 204.38 Tl.upf
O 16.00 O.upf
ATOMIC_POSITIONS crystal
Ba 0.000 0.000 0.000
Ba 0.000 0.000 0.500
Pu 0.333 0.667 0.250
Pu 0.667 0.333 0.750
Tl 0.333 0.667 0.750
Tl 0.667 0.333 0.250
O 0.036 0.385 0.149
O 0.036 0.651 0.351
O 0.349 0.385 0.351
O 0.349 0.964 0.149
O 0.385 0.036 0.649
O 0.385 0.349 0.851
O 0.615 0.651 0.149
O 0.615 0.964 0.351
O 0.651 0.036 0.851
O 0.651 0.615 0.649
O 0.964 0.349 0.649
O 0.964 0.615 0.851
CELL_PARAMETERS angstrom
5.711 0.000 0.000
-2.856 4.946 0.000
0.000 0.000 11.617
! Magnetization in μB per formula unit: 1.00
! Energy relative to the elements, uncorrected in eV/atom: -1.970
! DOS at the Fermi energy in states/eV/atom: 0.029
! Space-group type: No. 163

2.
! PuHPt2 (GGA-PBE, optimized geometry); values from VASP
&SYSTEM
  ibrav = 0, nat = 4, ntyp = 3
/
ATOMIC_SPECIES
Pu 244.00 Pu.upf
H 1.01 H.upf
Pt 195.08 Pt.upf
ATOMIC_POSITIONS crystal
Pu 0.000 0.000 0.000
H 0.500 0.500 0.500
Pt 0.112 0.112 0.112
Pt 0.888 0.888 0.888
CELL_PARAMETERS angstrom
1.440 0.831 8.133
-1.440 0.831 8.133
0.000 -1.662 8.133
! Magnetization in μB per formula unit: 4.67
! DOS at the Fermi energy in states/eV/atom: 1.033
! Space-group type: No. 166

3.
! Cr2OsRu (GGA-PBE, optimized geometry); values from VASP
&SYSTEM
  ibrav = 0, nat = 4, ntyp = 3
/
ATOMIC_SPECIES
Cr 52.00 Cr.upf
Os 190.23 Os.upf
Ru 101.07 Ru.upf
ATOMIC_POSITIONS crystal
Cr 0.000 0.000 0.000
Cr 0.248 0.248 0.742
Os 0.498 0.498 0.507
Ru 0.749 0.749 0.231
CELL_PARAMETERS angstrom
4.380 -1.337 0.000
4.380 1.337 0.000
-0.789 0.000 4.472
! Magnetization in μB per formula unit: 0.00
! E above lowest polymorph in eV per atom: 0.037
! Formation energy from the elements in meV per atom: 131
! DOS at the Fermi energy in states/eV/atom: 1.158
! Space-group type: No. 8

4.
! Dy3Ho6Tm2Tl (GGA-PBE, optimized geometry); values from VASP
&SYSTEM
  ibrav = 0, nat = 12, ntyp = 4
/
ATOMIC_SPECIES
Dy 162.50 Dy.upf
Ho 164.93 Ho.upf
Tm 168.93 Tm.upf
Tl 204.38 Tl.upf
ATOMIC_POSITIONS crystal
Dy 0.000 0.000 0.000
Dy 0.333 0.667 0.000
Dy 0.667 0.333 0.000
Ho 0.089 0.419 0.254
Ho 0.251 0.251 0.748
Ho 0.419 0.089 0.254
Ho 0.581 0.911 0.746
Ho 0.749 0.749 0.252
Ho 0.911 0.581 0.746
Tm 0.166 0.834 0.500
Tm 0.834 0.166 0.500
Tl 0.500 0.500 0.500
CELL_PARAMETERS angstrom
3.032 -5.257 0.000
3.032 5.257 0.000
-2.045 0.000 11.365
! Magnetization in μB per formula unit: 0.01
! Formation energy from the elements in meV per atom: -8
! DOS at the Fermi energy in states/eV/atom: 1.374
! Space-group type: No. 12

5.
! TmAg2SnTe4 (GGA-PBE, optimized geometry); values from VASP
&SYSTEM
  ibrav = 0, nat = 8, ntyp = 4
/
ATOMIC_SPECIES
Tm 168.93 Tm.upf
Ag 107.87 Ag.upf
Sn 118.71 Sn.upf
Te 127.60 Te.upf
ATOMIC_POSITIONS crystal
Tm 0.000 0.000 0.000
Ag 0.500 0.000 0.500
Ag 0.500 0.500 0.000
Sn 0.000 0.500 0.500
Te 0.254 0.500 0.249
Te 0.260 0.000 0.755
Te 0.740 0.000 0.245
Te 0.746 0.500 0.751
CELL_PARAMETERS angstrom
7.393 0.000 0.000
0.000 4.340 0.000
-2.541 0.000 7.135
! Magnetization in μB per formula unit: 0.00
! Energy relative to the elements, uncorrected in eV/atom: -0.475
! DOS at the Fermi energy in states/eV/atom: 0.331
! Space-group type: No. 10

6.
! NiAgSe2 (GGA-PBE, optimized geometry); values from VASP
&SYSTEM
  ibrav = 0, nat = 4, ntyp = 3
/
ATOMIC_SPECIES
Ni 58.69 Ni.upf
Ag 107.87 Ag.upf
Se 78.96 Se.upf
ATOMIC_POSITIONS crystal
Ni 0.000 0.000 0.000
Ag 0.500 0.500 0.500
Se 0.250 0.250 0.250
Se 0.750 0.750 0.750
CELL_PARAMETERS angstrom
0.000 3.268 3.268
3.268 0.000 3.268
3.268 3.268 0.000
! Magnetization in μB per formula unit: 0.62
! E above lowest polymorph in eV per atom: 0.454
! Energy relative to the elements, uncorrected in eV/atom: 0.307
! DOS at the Fermi energy in states/eV/atom: 0.912
! Space-group type: No. 225

7.
! SrLiHg6 (GGA-PBE, optimized geometry); values from VASP
&SYSTEM
  ibrav = 0, nat = 8, ntyp = 3
/
ATOMIC_SPECIES
Sr 87.62 Sr.upf
Li 6.94 Li.upf
Hg 200.59 Hg.upf
ATOMIC_POSITIONS crystal
Sr 0.000 0.000 0.000
Li 0.500 0.500 0.500
Hg 0.062 0.062 0.556
Hg 0.062 0.556 0.062
Hg 0.444 0.938 0.938
Hg 0.556 0.062 0.062
Hg 0.938 0.444 0.938
Hg 0.938 0.938 0.444
CELL_PARAMETERS angstrom
3.015 1.741 8.728
-3.015 1.741 8.728
0.000 -3.482 8.728
! Magnetization in μB per formula unit: 0.00
! E above lowest polymorph in eV per atom: 0.170
! Formation energy from the elements in meV per atom: -116
! DOS at the Fermi energy in states/eV/atom: 0.257
! Space-group type: No. 166

8.
! LaHgN2 (GGA-PBE, optimized geometry); values from VASP
&SYSTEM
  ibrav = 0, nat = 8, ntyp = 3
/
ATOMIC_SPECIES
La 138.91 La.upf
Hg 200.59 Hg.upf
N 14.01 N.upf
ATOMIC_POSITIONS crystal
La 0.000 0.000 0.000
La 0.750 0.250 0.500
Hg 0.250 0.750 0.500
Hg 0.500 0.500 0.000
N 0.135 0.625 0.010
N 0.375 0.385 0.510
N 0.615 0.125 0.990
N 0.875 0.865 0.490
CELL_PARAMETERS angstrom
-2.551 2.551 5.985
2.551 -2.551 5.985
2.551 2.551 -5.985
! Magnetization in μB per formula unit: 0.00
! Energy relative to the elements, uncorrected in eV/atom: 0.122
! DOS at the Fermi energy in states/eV/atom: 1.081
! Space-group type: No. 122

9.
! Ac3InSn2Pd8 (GGA-PBE, optimized geometry); values from VASP
&SYSTEM
  ibrav = 0, nat = 14, ntyp = 4
/
ATOMIC_SPECIES
Ac 227.00 Ac.upf
In 114.82 In.upf
Sn 118.71 Sn.upf
Pd 106.42 Pd.upf
ATOMIC_POSITIONS crystal
Ac 0.000 0.000 0.000
Ac 0.333 0.667 0.595
Ac 0.667 0.333 0.405
In 0.000 0.000 0.500
Sn 0.333 0.667 0.107
Sn 0.667 0.333 0.893
Pd 0.164 0.328 0.294
Pd 0.164 0.836 0.294
Pd 0.328 0.164 0.706
Pd 0.333 0.667 0.867
Pd 0.667 0.333 0.133
Pd 0.672 0.836 0.294
Pd 0.836 0.164 0.706
Pd 0.836 0.672 0.706
CELL_PARAMETERS angstrom
5.731 0.000 0.000
-2.865 4.963 0.000
0.000 0.000 11.018
! Magnetization in μB per formula unit: 0.00
! Formation energy from the elements in meV per atom: -653
! DOS at the Fermi energy in states/eV/atom: 0.490
! Space-group type: No. 164

10.
! BaCo3S (GGA-PBE, optimized geometry); values from VASP
&SYSTEM
  ibrav = 0, nat = 5, ntyp = 3
/
ATOMIC_SPECIES
Ba 137.33 Ba.upf
Co 58.93 Co.upf
S 32.06 S.upf
ATOMIC_POSITIONS crystal
Ba 0.000 0.000 0.000
Co 0.000 0.000 0.500
Co 0.000 0.500 0.000
Co 0.500 0.000 0.000
S 0.500 0.500 0.500
CELL_PARAMETERS angstrom
4.868 0.000 0.000
0.000 4.868 0.000
0.000 0.000 4.868
! Magnetization in μB per formula unit: 3.60
! E above lowest polymorph in eV per atom: 2.066
! Energy relative to the elements, uncorrected in eV/atom: 2.262
! DOS at the Fermi energy in states/eV/atom: 0.871
! Space-group type: No. 221

11.
! LaPmTeBr (GGA-PBE, optimized geometry); values from VASP
&SYSTEM
  ibrav = 0, nat = 4, ntyp = 4
/
ATOMIC_SPECIES
La 138.91 La.upf
Pm 145.00 Pm.upf
Te 127.60 Te.upf
Br 79.90 Br.upf
ATOMIC_POSITIONS crystal
La 0.000 0.000 0.000
Pm 0.500 0.500 0.500
Te 0.750 0.750 0.750
Br 0.250 0.250 0.250
CELL_PARAMETERS angstrom
0.000 3.822 3.822
3.822 0.000 3.822
3.822 3.822 0.000
! Magnetization in μB per formula unit: 0.00
! Energy relative to the elements, uncorrected in eV/atom: -1.275
! DOS at the Fermi energy in states/eV/atom: 1.123
! Space-group type: No. 216

12.
! MnCuTe3 (GGA-PBE, optimized geometry); values from VASP
&SYSTEM
  ibrav = 0, nat = 10, ntyp = 3
/
ATOMIC_SPECIES
Mn 54.94 Mn.upf
Cu 63.55 Cu.upf
Te 127.60 Te.upf
ATOMIC_POSITIONS crystal
Mn 0.164 0.164 0.164
Mn 0.836 0.836 0.836
Cu 0.351 0.351 0.351
Cu 0.649 0.649 0.649
Te 0.066 0.762 0.423
Te 0.238 0.577 0.934
Te 0.423 0.066 0.762
Te 0.577 0.934 0.238
Te 0.762 0.423 0.066
Te 0.934 0.238 0.577
CELL_PARAMETERS angstrom
3.458 1.997 5.806
-3.458 1.997 5.806
0.000 -3.993 5.806
! Magnetization in μB per formula unit: 2.60
! E above lowest polymorph in eV per atom: 0.025
! Energy relative to the elements, uncorrected in eV/atom: -0.082
! DOS at the Fermi energy in states/eV/atom: 0.533
! Space-group type: No. 148

Per-record energy, eV/atom: -7.344; -7.340; -9.807; -4.390; -3.818; -3.593; -0.792; -5.348; -5.268; -3.212; -4.898; -4.621